In2PtRh3 (PBE, optimized geometry); symmetry = Cmmm; magnetization = 0.00 μB per atom; ΔH_f (0 K) = -0.22 eV/atom
1.0
-2.7543 0.5950 -3.6869
-1.1268 -6.5580 -3.1368
-4.8757 -0.8397 3.5068
Rh In Pt
6 4 2
Direct
0.1658 0.6686 0.7590
0.8343 0.3314 0.7590
0.5000 0.0000 0.2474
0.5000 0.0000 0.7526
0.1657 0.6686 0.2410
0.8342 0.3314 0.2410
0.0000 0.0000 0.5000
0.6679 0.6641 0.5000
0.0000 0.0000 0.0000
0.3321 0.3359 0.5000
0.3314 0.3372 0.0000
0.6686 0.6628 0.0000